(1)
Density functional theory data (PBE-GGA) for crystalline LaZr2Br at its relaxed geometry.

Results
Volume = 27.13 Å³/atom
E above lowest polymorph = 0.3377 eV per atom
Formation energy without anion corrections = 0.070 eV per atom

Geometry as CIF:
```
data_LaZr2Br
_chemical_formula_sum 'La2 Zr4 Br2'
_space_group_name_H-M_alt 'I 4/m m m'
_space_group_IT_number 139
_space_group_name_Hall '-I 4 2'
_cell_length_a 4.206
_cell_length_b 4.206
_cell_length_c 12.269
_cell_angle_alpha 90.00
_cell_angle_beta 90.00
_cell_angle_gamma 90.00
loop_
_atom_site_label
_atom_site_type_symbol
_atom_site_fract_x
_atom_site_fract_y
_atom_site_fract_z
La1 La 0.000 0.000 0.000
Zr1 Zr 0.000 0.500 0.250
Br1 Br 0.000 0.000 0.500
```

---

(2)
Density functional theory data (PBE-GGA) for crystalline AcDyAsO2 at its relaxed geometry.

Results
Volume = 19.95 Å³/atom
Formation energy without anion corrections = -2.434 eV per atom

Geometry as CIF:
```
data_AcDyAsO2
_chemical_formula_sum 'Ac4 Dy4 As4 O8'
_space_group_name_H-M_alt 'C m c m'
_space_group_IT_number 63
_space_group_name_Hall '-C 2c 2'
_cell_length_a 4.124
_cell_length_b 12.800
_cell_length_c 7.559
_cell_angle_alpha 90.00
_cell_angle_beta 90.00
_cell_angle_gamma 90.00
loop_
_atom_site_label
_atom_site_type_symbol
_atom_site_fract_x
_atom_site_fract_y
_atom_site_fract_z
Ac1 Ac 0.000 0.228 0.250
Dy1 Dy 0.000 0.500 0.000
As1 As 0.000 0.048 0.750
O1 O 0.000 0.331 0.556
```

---

(3)
Density functional theory data (PBE-GGA) for crystalline CaPm2In2Hg2 at its relaxed geometry.

Results
Volume = 28.73 Å³/atom
Electronic total energy = -2.85 eV per atom

Geometry as CIF:
```
data_CaPm2In2Hg2
_chemical_formula_sum 'Ca3 Pm6 In6 Hg6'
_space_group_name_H-M_alt 'R -3 m'
_space_group_IT_number 166
_space_group_name_Hall '-R 3 2"'
_cell_length_a 4.9446
_cell_length_b 4.9446
_cell_length_c 28.4978
_cell_angle_alpha 90.00
_cell_angle_beta 90.00
_cell_angle_gamma 120.00
loop_
_atom_site_label
_atom_site_type_symbol
_atom_site_fract_x
_atom_site_fract_y
_atom_site_fract_z
Ca1 Ca 0.0000 0.0000 0.0000
Pm1 Pm 0.0000 0.0000 0.1278
In1 In 0.0000 0.0000 0.2559
Hg1 Hg 0.0000 0.0000 0.4001
```

---

(4)
Density functional theory data (PBE-GGA) for crystalline KHoAg2F8 at its relaxed geometry.

Results
Volume = 15.50 Å³/atom
Formation energy without anion corrections = -2.357 eV per atom

Geometry as CIF:
```
data_KHoAg2F8
_chemical_formula_sum 'K2 Ho2 Ag4 F16'
_space_group_name_H-M_alt 'I -4'
_space_group_IT_number 82
_cell_length_a 5.973
_cell_length_b 5.973
_cell_length_c 10.431
_cell_angle_alpha 90.00
_cell_angle_beta 90.00
_cell_angle_gamma 90.00
loop_
_space_group_symop_operation_xyz
'x,y,z'
'y,-x,-z'
'-x,-y,z'
'-y,x,-z'
'x+1/2,y+1/2,z+1/2'
'y+1/2,-x+1/2,-z+1/2'
'-x+1/2,-y+1/2,z+1/2'
'-y+1/2,x+1/2,-z+1/2'
loop_
_atom_site_label
_atom_site_type_symbol
_atom_site_fract_x
_atom_site_fract_y
_atom_site_fract_z
K1 K 0.000 0.000 0.000
Ho1 Ho 0.000 0.500 0.750
Ag1 Ag 0.000 0.000 0.500
Ag2 Ag 0.000 0.500 0.250
F1 F 0.115 0.320 0.564
F2 F 0.203 0.782 0.201
```

---

(5)
Density functional theory data (PBE-GGA) for crystalline NdHoSi3 at its relaxed geometry.

Results
Volume = 20.74 Å³/atom
Formation energy without anion corrections = -0.702 eV per atom

Geometry as CIF:
```
data_NdHoSi3
_chemical_formula_sum 'Nd4 Ho4 Si12'
_space_group_name_H-M_alt 'C m c m'
_space_group_IT_number 63
_space_group_name_Hall '-C 2c 2'
_cell_length_a 4.246
_cell_length_b 24.650
_cell_length_c 3.964
_cell_angle_alpha 90.00
_cell_angle_beta 90.00
_cell_angle_gamma 90.00
loop_
_atom_site_label
_atom_site_type_symbol
_atom_site_fract_x
_atom_site_fract_y
_atom_site_fract_z
Nd1 Nd 0.000 0.071 0.250
Ho1 Ho 0.000 0.203 0.750
Si1 Si 0.000 0.321 0.750
Si2 Si 0.000 0.379 0.250
Si3 Si 0.000 0.475 0.250
```

---

(6)
Density functional theory data (PBE-GGA) for crystalline TiSiRhW2 at its relaxed geometry.

Results
Volume = 17.61 Å³/atom
E above lowest polymorph = 0.0000 eV per atom
Formation energy without anion corrections = 0.699 eV per atom

Geometry as CIF:
```
data_TiSiRhW2
_chemical_formula_sum 'Ti1 Si1 Rh1 W2'
_space_group_name_H-M_alt 'P 4/m m m'
_space_group_IT_number 123
_space_group_name_Hall '-P 4 2'
_cell_length_a 4.506
_cell_length_b 4.506
_cell_length_c 4.336
_cell_angle_alpha 90.00
_cell_angle_beta 90.00
_cell_angle_gamma 90.00
loop_
_atom_site_label
_atom_site_type_symbol
_atom_site_fract_x
_atom_site_fract_y
_atom_site_fract_z
Ti1 Ti 0.000 0.000 0.000
Si1 Si 0.500 0.500 0.500
Rh1 Rh 0.500 0.500 0.000
W1 W 0.000 0.500 0.500
```

---

(7)
Density functional theory data (PBE-GGA) for crystalline La2PuRh at its relaxed geometry.

Results
Volume = 32.97 Å³/atom
E above lowest polymorph = 0.1998 eV per atom

Geometry as CIF:
```
data_La2PuRh
_chemical_formula_sum 'La6 Pu3 Rh3'
_space_group_name_H-M_alt 'R -3 m'
_space_group_IT_number 166
_space_group_name_Hall '-R 3 2"'
_cell_length_a 3.8216
_cell_length_b 3.8216
_cell_length_c 31.2788
_cell_angle_alpha 90.00
_cell_angle_beta 90.00
_cell_angle_gamma 120.00
loop_
_atom_site_label
_atom_site_type_symbol
_atom_site_fract_x
_atom_site_fract_y
_atom_site_fract_z
La1 La 0.0000 0.0000 0.1097
Pu1 Pu 0.0000 0.0000 0.0000
Rh1 Rh 0.0000 0.0000 0.5000
```

---

(8)
Density functional theory data (PBE-GGA) for crystalline LaBiS2 at its relaxed geometry.

Results
Volume = 31.21 Å³/atom
Formation energy without anion corrections = -0.869 eV per atom

Geometry as CIF:
```
data_LaBiS2
_chemical_formula_sum 'La4 Bi4 S8'
_space_group_name_H-M_alt 'I -4 2 d'
_space_group_IT_number 122
_space_group_name_Hall 'I -4 2bw'
_cell_length_a 5.426
_cell_length_b 5.426
_cell_length_c 16.964
_cell_angle_alpha 90.00
_cell_angle_beta 90.00
_cell_angle_gamma 90.00
loop_
_atom_site_label
_atom_site_type_symbol
_atom_site_fract_x
_atom_site_fract_y
_atom_site_fract_z
La1 La 0.000 0.000 0.000
Bi1 Bi 0.000 0.000 0.500
S1 S 0.243 0.250 0.125
```